FeHgO3 | PBE+U | optimized geometry

Cell: 3.835 3.835 3.835 Å, 90.00 90.00 90.00°
Space group Pm-3m (No. 221)
Asymmetric unit:
Fe: 0.000 0.000 0.000 (multiplicity 1)
Hg: 0.500 0.500 0.500 (multiplicity 1)
O: 0.000 0.000 0.500 (multiplicity 3)

Results
E	-23.28	eV/cell

FeHgO3 | PBE+U | optimized geometry

Cell: 4.108 4.108 4.108 Å, 90.00 90.00 90.00°
Space group Pm-3m (No. 221)
Asymmetric unit:
Fe: 0.000 0.000 0.000 (multiplicity 1)
Hg: 0.500 0.500 0.500 (multiplicity 1)
O: 0.000 0.500 0.500 (multiplicity 3)

Results
E	-17.56	eV/cell

Copy entry 1 word for word.
FeHgO3 | PBE+U | optimized geometry

Cell: 3.835 3.835 3.835 Å, 90.00 90.00 90.00°
Space group Pm-3m (No. 221)
Asymmetric unit:
Fe: 0.000 0.000 0.000 (multiplicity 1)
Hg: 0.500 0.500 0.500 (multiplicity 1)
O: 0.000 0.000 0.500 (multiplicity 3)

Results
E	-23.28	eV/cell

Q: Among the records above, which one has the lowest E?
A: number 1

Q: E of number 2 (FeHgO3)?
A: -17.56 eV/cell

Q: What is the formula in the first record?
A: FeHgO3